w) Below is SmHfSn after structural relaxation, with properties calculated at the PBE-GGA level.

Results
Space group ... I4/mmm
Total magnetization ... 0.8 μB/f.u.

a = 8.929 Å, b = 8.929 Å, c = 8.929 Å
α = 151.62°, β = 151.62°, γ = 40.57°
Element x y z (fractional)
1 Sm 0.174 0.174 0.000
2 Sm 0.826 0.826 0.000
3 Hf 0.000 0.500 0.500
4 Hf 0.500 0.000 0.500
5 Sn 0.372 0.372 0.000
6 Sn 0.628 0.628 0.000

x) Below is SmHfSn after structural relaxation, with properties calculated at the PBE-GGA level.

Results
Space group ... P4/nmm
Total magnetization ... 0.0 μB/f.u.

a = 3.876 Å, b = 3.876 Å, c = 10.803 Å
α = 90.00°, β = 90.00°, γ = 90.00°
Element x y z (fractional)
1 Sm 0.250 0.250 0.242
2 Sm 0.750 0.750 0.758
3 Hf 0.250 0.250 0.941
4 Hf 0.750 0.750 0.059
5 Sn 0.250 0.250 0.564
6 Sn 0.750 0.750 0.436

Computed relative energies in units of eV/atom: w) 0.000; x) 0.408

w) Below is SmHfSn2 after structural relaxation, with properties calculated at the PBE-GGA level.

Results
Space group ... R-3m
Total magnetization ... 0.0 μB/f.u.

a = 6.038 Å, b = 6.038 Å, c = 6.038 Å
α = 46.53°, β = 46.53°, γ = 46.53°
Element x y z (fractional)
1 Sm 0.000 0.000 0.000
2 Hf 0.500 0.500 0.500
3 Sn 0.237 0.237 0.237
4 Sn 0.763 0.763 0.763

x) Below is SmHfSn2 after structural relaxation, with properties calculated at the PBE-GGA level.

Results
Space group ... P4/mmm
Total magnetization ... 0.0 μB/f.u.

a = 3.891 Å, b = 3.891 Å, c = 6.641 Å
α = 90.00°, β = 90.00°, γ = 90.00°
Element x y z (fractional)
1 Sm 0.000 0.000 0.000
2 Hf 0.000 0.000 0.500
3 Sn 0.500 0.500 0.278
4 Sn 0.500 0.500 0.722

Computed relative energies in units of eV/atom: w) 0.000; x) 0.015

w) Below is Tb2SmHf after structural relaxation, with properties calculated at the PBE-GGA level.

Results
Space group ... P4/mmm
Total magnetization ... 0.0 μB/f.u.

a = 4.872 Å, b = 4.872 Å, c = 4.894 Å
α = 90.00°, β = 90.00°, γ = 90.00°
Element x y z (fractional)
1 Tb 0.000 0.500 0.000
2 Tb 0.500 0.000 0.000
3 Sm 0.000 0.000 0.500
4 Hf 0.500 0.500 0.500

x) Below is Tb2SmHf after structural relaxation, with properties calculated at the PBE-GGA level.

Results
Space group ... P4/mmm
Total magnetization ... 0.0 μB/f.u.

a = 4.004 Å, b = 4.004 Å, c = 7.375 Å
α = 90.00°, β = 90.00°, γ = 90.00°
Element x y z (fractional)
1 Tb 0.000 0.000 0.219
2 Tb 0.000 0.000 0.781
3 Sm 0.500 0.500 0.500
4 Hf 0.500 0.500 0.000

y) Below is Tb2SmHf after structural relaxation, with properties calculated at the PBE-GGA level.

Results
Space group ... R-3m
Total magnetization ... 0.0 μB/f.u.

a = 12.226 Å, b = 12.226 Å, c = 12.226 Å
α = 15.79°, β = 15.79°, γ = 15.79°
Element x y z (fractional)
1 Tb 0.085 0.085 0.085
2 Tb 0.915 0.915 0.915
3 Sm 0.500 0.500 0.500
4 Hf 0.000 0.000 0.000

z) Below is Tb2SmHf after structural relaxation, with properties calculated at the PBE-GGA level.

Results
Space group ... R3m
Total magnetization ... 0.0 μB/f.u.

a = 11.485 Å, b = 11.485 Å, c = 11.485 Å
α = 17.31°, β = 17.31°, γ = 17.31°
Element x y z (fractional)
1 Tb 0.000 0.000 0.000
2 Tb 0.179 0.179 0.179
3 Sm 0.756 0.756 0.756
4 Hf 0.590 0.590 0.590

Computed relative energies in units of eV/atom: w) 0.035; x) 0.105; y) 0.256; z) 0.000

w) Below is SmHfTh after structural relaxation, with properties calculated at the PBE-GGA level.

Results
Space group ... P3m1
Total magnetization ... 0.0 μB/f.u.

a = 3.451 Å, b = 3.451 Å, c = 8.345 Å
α = 90.00°, β = 90.00°, γ = 120.00°
Element x y z (fractional)
1 Sm 0.000 0.000 0.000
2 Hf 0.333 0.667 0.667
3 Th 0.667 0.333 0.354

x) Below is SmHfTh after structural relaxation, with properties calculated at the PBE-GGA level.

Results
Space group ... Cm
Total magnetization ... 0.0 μB/f.u.

a = 5.840 Å, b = 5.840 Å, c = 9.372 Å
α = 91.57°, β = 91.57°, γ = 33.38°
Element x y z (fractional)
1 Sm 0.000 0.000 0.000
2 Sm 0.734 0.734 0.826
3 Hf 0.005 0.005 0.634
4 Hf 0.272 0.272 0.150
5 Th 0.276 0.276 0.491
6 Th 0.535 0.535 0.329

Computed relative energies in units of eV/atom: w) 0.000; x) 0.087